A relaxed La6Pm16Ho7 crystal. Source: Alexandria via LeMat-Bulk, functional PBE.

Calculated values
SG: Fm-3m (225)
Raw total energy, eV per cell: -131.78
Formation energy, eV per formula unit: 5.837
Magnetization, μB per cell: 0.00

Geometry as POSCAR:
```
La6Pm16Ho7
1.0
0.000 8.031 8.031
8.031 0.000 8.031
8.031 8.031 0.000
La Pm Ho
6 16 7
Direct
0.216 0.216 0.784
0.216 0.784 0.216
0.216 0.784 0.784
0.784 0.216 0.216
0.784 0.216 0.784
0.784 0.784 0.216
0.126 0.625 0.625
0.153 0.153 0.153
0.153 0.153 0.540
0.153 0.540 0.153
0.375 0.375 0.375
0.375 0.375 0.874
0.375 0.874 0.375
0.460 0.847 0.847
0.540 0.153 0.153
0.625 0.126 0.625
0.625 0.625 0.126
0.625 0.625 0.625
0.847 0.460 0.847
0.847 0.847 0.460
0.847 0.847 0.847
0.874 0.375 0.375
0.000 0.000 0.500
0.000 0.500 0.000
0.000 0.500 0.500
0.500 0.000 0.000
0.500 0.000 0.500
0.500 0.500 0.000
0.500 0.500 0.500
```